This record from the Alexandria database describes an optimized crystal structure of NaTb3Er3Se8. The functional is PBE.

a b c (Å): 8.1166 8.1166 8.1166
angles (deg): 59.94 59.94 59.94
Fractional coordinates of all 15 atoms:
Na 0.0000 0.0000 0.0000
Tb 0.0000 0.0000 0.5000
Tb 0.0000 0.5000 0.0000
Tb 0.5000 0.0000 0.0000
Er 0.0000 0.5000 0.5000
Er 0.5000 0.0000 0.5000
Er 0.5000 0.5000 0.0000
Se 0.2515 0.2515 0.2515
Se 0.2549 0.2549 0.7419
Se 0.2549 0.7419 0.2549
Se 0.2581 0.7451 0.7451
Se 0.7419 0.2549 0.2549
Se 0.7451 0.2581 0.7451
Se 0.7451 0.7451 0.2581
Se 0.7485 0.7485 0.7485

Properties
- uncorrected formation energy (eV per atom) = -1.7694
- space group = R-3m (166)
- calculated volume (A^3/atom) = 25.17